[1]
Compound: K6RbNa
Source: Alexandria
Functional: PBE
Structure: relaxed

Calculated volume (Å³/f.u.): 551.41
Energy of formation from the pure elements (eV/f.u.): 0.1
Space-group type: P4/mmm
Fermi-level density of states (states/eV/cell): 5.5

a = 6.533 Å, b = 6.533 Å, c = 12.918 Å
α = 90.00°, β = 90.00°, γ = 90.00°
Fractional positions:
K  0.000  0.000  0.000
K  0.000  0.000  0.500
K  0.000  0.500  0.229
K  0.000  0.500  0.771
K  0.500  0.000  0.229
K  0.500  0.000  0.771
Rb  0.500  0.500  0.500
Na  0.500  0.500  0.000

[2]
Compound: K4PtCl
Source: Alexandria
Functional: PBE
Structure: relaxed

Calculated volume (Å³/f.u.): 212.55
Space-group type: F-43m
Fermi-level density of states (states/eV/cell): 2.2
Total energy (eV/cell): -11.9

a = 6.699 Å, b = 6.699 Å, c = 6.699 Å
α = 60.00°, β = 60.00°, γ = 60.00°
Fractional positions:
K  0.124  0.124  0.124
K  0.124  0.124  0.628
K  0.124  0.628  0.124
K  0.628  0.124  0.124
Pt  0.750  0.750  0.750
Cl  0.500  0.500  0.500

[3]
Compound: Sr2VCl6
Source: Alexandria
Functional: PBE
Structure: relaxed

Calculated volume (Å³/f.u.): 233.83
Space-group type: P2_1/c
Total energy (eV/cell): -83.7

a = 6.620 Å, b = 7.536 Å, c = 11.382 Å
α = 90.00°, β = 124.55°, γ = 90.00°
Fractional positions:
Sr  0.219  0.109  0.253
Sr  0.219  0.391  0.753
Sr  0.781  0.609  0.247
Sr  0.781  0.891  0.747
V  0.500  0.000  0.000
V  0.500  0.500  0.500
Cl  0.129  0.164  0.943
Cl  0.129  0.336  0.443
Cl  0.289  0.705  0.943
Cl  0.289  0.795  0.443
Cl  0.368  0.029  0.750
Cl  0.368  0.471  0.250
Cl  0.632  0.529  0.750
Cl  0.632  0.971  0.250
Cl  0.711  0.205  0.557
Cl  0.711  0.295  0.057
Cl  0.871  0.664  0.557
Cl  0.871  0.836  0.057

[4]
Compound: MgInCl2
Source: Alexandria
Functional: PBE
Structure: relaxed

Energy above the lowest structure with this stoichiometry (eV/atom): 0.004
Calculated volume (Å³/f.u.): 124.47
Space-group type: C2/m
Fermi-level density of states (states/eV/cell): 1.3

a = 3.542 Å, b = 3.542 Å, c = 11.480 Å
α = 93.36°, β = 93.36°, γ = 60.02°
Fractional positions:
Mg  0.000  0.000  0.000
In  0.500  0.500  0.500
Cl  0.318  0.318  0.876
Cl  0.682  0.682  0.124

[5]
Compound: Ce8Os3Ru2
Source: Alexandria
Functional: PBE
Structure: relaxed

Calculated volume (Å³/f.u.): 356.10
Energy of formation from the pure elements (eV/f.u.): -1.4
Space-group type: C2/m
Fermi-level density of states (states/eV/cell): 30.9

a = 8.354 Å, b = 8.354 Å, c = 6.887 Å
α = 109.23°, β = 109.23°, γ = 52.83°
Fractional positions:
Ce  0.101  0.101  0.411
Ce  0.140  0.627  0.095
Ce  0.359  0.359  0.581
Ce  0.373  0.860  0.905
Ce  0.627  0.140  0.095
Ce  0.641  0.641  0.419
Ce  0.860  0.373  0.905
Ce  0.899  0.899  0.589
Os  0.000  0.000  0.000
Os  0.305  0.695  0.500
Os  0.695  0.305  0.500
Ru  0.258  0.258  0.776
Ru  0.742  0.742  0.224

[6]
Compound: NaPtPb2C
Source: Alexandria
Functional: PBE
Structure: relaxed

Calculated volume (Å³/f.u.): 117.18
Energy of formation from the pure elements (eV/f.u.): 1.8
Space-group type: P4/mmm
Fermi-level density of states (states/eV/cell): 2.7

a = 5.480 Å, b = 5.480 Å, c = 3.902 Å
α = 90.00°, β = 90.00°, γ = 90.00°
Fractional positions:
Na  0.000  0.000  0.000
Pt  0.500  0.500  0.000
Pb  0.000  0.500  0.500
Pb  0.500  0.000  0.500
C  0.500  0.500  0.500

[7]
Compound: Eu3MgRu
Source: Alexandria
Functional: PBE
Structure: relaxed

Calculated volume (Å³/f.u.): 167.55
Energy of formation from the pure elements (eV/f.u.): 0.3
Space-group type: Pm-3m
Fermi-level density of states (states/eV/cell): 8.0

a = 5.513 Å, b = 5.513 Å, c = 5.513 Å
α = 90.00°, β = 90.00°, γ = 90.00°
Fractional positions:
Eu  0.000  0.000  0.500
Eu  0.000  0.500  0.000
Eu  0.500  0.000  0.000
Mg  0.500  0.500  0.500
Ru  0.000  0.000  0.000

[8]
Compound: PtW3Br
Source: Alexandria
Functional: PBE
Structure: relaxed

Energy above the lowest structure with this stoichiometry (eV/atom): 0.000
Calculated volume (Å³/f.u.): 94.05
Space-group type: Pm-3m
Fermi-level density of states (states/eV/cell): 5.8

a = 4.548 Å, b = 4.548 Å, c = 4.548 Å
α = 90.00°, β = 90.00°, γ = 90.00°
Fractional positions:
Pt  0.000  0.000  0.000
W  0.000  0.500  0.500
W  0.500  0.000  0.500
W  0.500  0.500  0.000
Br  0.500  0.500  0.500

[9]
Compound: Na5B7C3
Source: Alexandria
Functional: PBE
Structure: relaxed

Energy above the lowest structure with this stoichiometry (eV/atom): 0.013
Calculated volume (Å³/f.u.): 155.63
Energy of formation from the pure elements (eV/f.u.): 1.9
Space-group type: C2/m
Fermi-level density of states (states/eV/cell): 12.9

a = 9.026 Å, b = 9.026 Å, c = 13.347 Å
α = 113.01°, β = 113.01°, γ = 18.16°
Fractional positions:
Na  0.000  0.000  0.000
Na  0.000  0.000  0.500
Na  0.199  0.199  0.900
Na  0.201  0.201  0.399
Na  0.399  0.399  0.301
Na  0.400  0.400  0.800
Na  0.600  0.600  0.200
Na  0.601  0.601  0.699
Na  0.799  0.799  0.601
Na  0.801  0.801  0.100
B  0.033  0.033  0.316
B  0.167  0.167  0.584
B  0.170  0.170  0.090
B  0.236  0.236  0.721
B  0.370  0.370  0.988
B  0.374  0.374  0.497
B  0.439  0.439  0.128
B  0.561  0.561  0.872
B  0.626  0.626  0.503
B  0.630  0.630  0.012
B  0.764  0.764  0.279
B  0.830  0.830  0.910
B  0.833  0.833  0.416
B  0.967  0.967  0.684
C  0.031  0.031  0.811
C  0.233  0.233  0.216
C  0.436  0.436  0.622
C  0.564  0.564  0.378
C  0.767  0.767  0.784
C  0.969  0.969  0.189

[10]
Compound: TaTlSeO5
Source: Alexandria
Functional: PBE
Structure: relaxed

Calculated volume (Å³/f.u.): 123.05
Space-group type: C2/c
Fermi-level density of states (states/eV/cell): 0.0
Total energy (eV/cell): -108.9

a = 5.938 Å, b = 5.938 Å, c = 7.541 Å
α = 100.76°, β = 100.76°, γ = 103.82°
Fractional positions:
Ta  0.000  0.000  0.000
Ta  0.000  0.000  0.500
Tl  0.341  0.659  0.750
Tl  0.659  0.341  0.250
Se  0.322  0.678  0.250
Se  0.678  0.322  0.750
O  0.063  0.937  0.750
O  0.107  0.701  0.380
O  0.178  0.338  0.050
O  0.299  0.893  0.120
O  0.338  0.178  0.550
O  0.662  0.822  0.450
O  0.701  0.107  0.880
O  0.822  0.662  0.950
O  0.893  0.299  0.620
O  0.937  0.063  0.250

[11]
Compound: CeThInTc
Source: Alexandria
Functional: PBE
Structure: relaxed

Energy above the lowest structure with this stoichiometry (eV/atom): 0.191
Calculated volume (Å³/f.u.): 99.97
Energy of formation from the pure elements (eV/f.u.): -0.1
Space-group type: F-43m
Fermi-level density of states (states/eV/cell): 5.2

a = 5.209 Å, b = 5.209 Å, c = 5.209 Å
α = 60.00°, β = 60.00°, γ = 60.00°
Fractional positions:
Ce  0.000  0.000  0.000
Th  0.500  0.500  0.500
In  0.250  0.250  0.250
Tc  0.750  0.750  0.750

[12]
Compound: HfFePdPb2
Source: Alexandria
Functional: PBE
Structure: relaxed

Calculated volume (Å³/f.u.): 130.86
Energy of formation from the pure elements (eV/f.u.): 4.7
Space-group type: P4/mmm
Fermi-level density of states (states/eV/cell): 5.9

a = 5.005 Å, b = 5.005 Å, c = 5.223 Å
α = 90.00°, β = 90.00°, γ = 90.00°
Fractional positions:
Hf  0.000  0.000  0.000
Fe  0.500  0.500  0.000
Pd  0.000  0.000  0.500
Pb  0.000  0.500  0.500
Pb  0.500  0.000  0.500

Look up the calculated volume of the first one. 551.41 Å³/f.u.

Which formula does entry 1 have? K6RbNa

Repeat the eighth record exactly.
Compound: PtW3Br
Source: Alexandria
Functional: PBE
Structure: relaxed

Energy above the lowest structure with this stoichiometry (eV/atom): 0.000
Calculated volume (Å³/f.u.): 94.05
Space-group type: Pm-3m
Fermi-level density of states (states/eV/cell): 5.8

a = 4.548 Å, b = 4.548 Å, c = 4.548 Å
α = 90.00°, β = 90.00°, γ = 90.00°
Fractional positions:
Pt  0.000  0.000  0.000
W  0.000  0.500  0.500
W  0.500  0.000  0.500
W  0.500  0.500  0.000
Br  0.500  0.500  0.500